Below is a geometry-optimized LaAlGa2Pd5 structure, with properties calculated at the PBE level.

Structure (CIF):
```
data_LaAlGa2Pd5
_chemical_formula_sum 'La1 Al1 Ga2 Pd5'
_symmetry_space_group_name_H-M 'P 4/m m m'
_symmetry_Int_Tables_number 123
_symmetry_space_group_name_Hall '-P 4 2'
_cell_length_a 4.766
_cell_length_b 4.766
_cell_length_c 7.385
_cell_angle_alpha 90.00
_cell_angle_beta 90.00
_cell_angle_gamma 90.00
loop_
_atom_site_label
_atom_site_fract_x
_atom_site_fract_y
_atom_site_fract_z
La1 0.000 0.000 0.000
Al1 0.000 0.000 0.500
Ga1 0.500 0.500 0.333
Pd1 0.000 0.500 0.296
Pd2 0.500 0.500 0.000
```

DOS at the Fermi energy	0.4519	states/eV per atom
magnetic moment	0.00	μB per atom
volume	167.7	Å³/cell
ΔH_f (0 K)	-4.6	eV per formula unit

=====

Below is a geometry-optimized Ce3Sc2TaN6 structure, with properties calculated at the PBE level.

Structure (CIF):
```
data_Ce3Sc2TaN6
_chemical_formula_sum 'Ce6 Sc4 Ta2 N12'
_symmetry_space_group_name_H-M 'C 1 2/m 1'
_symmetry_Int_Tables_number 12
_cell_length_a 5.729
_cell_length_b 9.930
_cell_length_c 5.928
_cell_angle_alpha 90.00
_cell_angle_beta 108.76
_cell_angle_gamma 90.00
loop_
_symmetry_equiv_pos_as_xyz
'x,y,z'
'-x,-y,-z'
'-x,y,-z'
'x,-y,z'
'x+1/2,y+1/2,z'
'-x+1/2,-y+1/2,-z'
'-x+1/2,y+1/2,-z'
'x+1/2,-y+1/2,z'
loop_
_atom_site_label
_atom_site_fract_x
_atom_site_fract_y
_atom_site_fract_z
Ce1 0.000 0.000 0.000
Ce2 0.000 0.331 0.000
Sc1 0.000 0.166 0.500
Ta1 0.000 0.500 0.500
N1 0.232 0.340 0.715
N2 0.248 0.500 0.282
```

DOS at the Fermi energy	0.5705	states/eV per atom
magnetic moment	0.00	μB per atom
volume	319.3	Å³/cell
calculated total energy	-9.266	eV per atom

=====

Below is a geometry-optimized Dy4TmTl2 structure, with properties calculated at the PBE level.

Structure (CIF):
```
data_Dy4TmTl2
_chemical_formula_sum 'Dy16 Tm4 Tl8'
_symmetry_space_group_name_H-M 'F m m m'
_symmetry_Int_Tables_number 69
_symmetry_space_group_name_Hall '-F 2 2'
_cell_length_a 6.729
_cell_length_b 10.061
_cell_length_c 12.472
_cell_angle_alpha 90.00
_cell_angle_beta 90.00
_cell_angle_gamma 90.00
loop_
_atom_site_label
_atom_site_fract_x
_atom_site_fract_y
_atom_site_fract_z
Dy1 0.250 0.250 0.000
Dy2 0.250 0.250 0.250
Tm1 0.000 0.000 0.000
Tl1 0.000 0.000 0.369
```

DOS at the Fermi energy	1.2170	states/eV per atom
magnetic moment	0.00	μB per atom
volume	844.3	Å³/cell
distance to the lowest polymorph of the same formula	103	meV per atom
ΔH_f (0 K)	1.2	eV per formula unit

=====

Below is a geometry-optimized ReTcAg structure, with properties calculated at the PBE level.

Structure (CIF):
```
data_ReTcAg
_chemical_formula_sum 'Re2 Tc2 Ag2'
_symmetry_space_group_name_H-M 'I 4 m m'
_symmetry_Int_Tables_number 107
_symmetry_space_group_name_Hall 'I 4 -2'
_cell_length_a 2.928
_cell_length_b 2.928
_cell_length_c 11.380
_cell_angle_alpha 90.00
_cell_angle_beta 90.00
_cell_angle_gamma 90.00
loop_
_atom_site_label
_atom_site_fract_x
_atom_site_fract_y
_atom_site_fract_z
Re1 0.000 0.000 0.000
Tc1 0.000 0.000 0.371
Ag1 0.000 0.000 0.685
```

DOS at the Fermi energy	0.6270	states/eV per atom
magnetic moment	0.00	μB per atom
volume	97.6	Å³/cell
distance to the lowest polymorph of the same formula	141	meV per atom
ΔH_f (0 K)	1.2	eV per formula unit

=====

Below is a geometry-optimized Y3SnS6 structure, with properties calculated at the PBE level.

Structure (CIF):
```
data_Y3SnS6
_chemical_formula_sum 'Y12 Sn4 S24'
_symmetry_space_group_name_H-M 'C m c 21'
_symmetry_Int_Tables_number 36
_cell_length_a 10.680
_cell_length_b 13.317
_cell_length_c 6.715
_cell_angle_alpha 90.00
_cell_angle_beta 90.00
_cell_angle_gamma 90.00
loop_
_symmetry_equiv_pos_as_xyz
'x,y,z'
'-x,-y,z+1/2'
'-x,y,z'
'x,-y,z+1/2'
'x+1/2,y+1/2,z'
'-x+1/2,-y+1/2,z+1/2'
'-x+1/2,y+1/2,z'
'x+1/2,-y+1/2,z+1/2'
loop_
_atom_site_label
_atom_site_fract_x
_atom_site_fract_y
_atom_site_fract_z
Y1 0.000 0.096 0.000
Y2 0.188 0.397 0.100
Sn1 0.000 0.328 0.611
S1 0.000 0.270 0.244
S2 0.000 0.491 0.865
S3 0.165 0.030 0.296
S4 0.166 0.236 0.811
```

DOS at the Fermi energy	0.1643	states/eV per atom
magnetic moment	0.00	μB per atom
volume	955.0	Å³/cell
calculated total energy	-6.423	eV per atom

=====

Below is a geometry-optimized Pr4Cd2Ni structure, with properties calculated at the PBE level.

Structure (CIF):
```
data_Pr4Cd2Ni
_chemical_formula_sum 'Pr8 Cd4 Ni2'
_symmetry_space_group_name_H-M 'I 4/m m m'
_symmetry_Int_Tables_number 139
_symmetry_space_group_name_Hall '-I 4 2'
_cell_length_a 5.327
_cell_length_b 5.327
_cell_length_c 15.945
_cell_angle_alpha 90.00
_cell_angle_beta 90.00
_cell_angle_gamma 90.00
loop_
_atom_site_label
_atom_site_fract_x
_atom_site_fract_y
_atom_site_fract_z
Pr1 0.000 0.000 0.181
Pr2 0.000 0.500 0.000
Cd1 0.000 0.000 0.375
Ni1 0.000 0.000 0.000
```

DOS at the Fermi energy	1.4451	states/eV per atom
magnetic moment	0.00	μB per atom
volume	452.4	Å³/cell
ΔH_f (0 K)	-0.5	eV per formula unit

=====

Below is a geometry-optimized NaAcTlSi structure, with properties calculated at the PBE level.

Structure (CIF):
```
data_NaAcTlSi
_chemical_formula_sum 'Na4 Ac4 Tl4 Si4'
_symmetry_space_group_name_H-M 'F -4 3 m'
_symmetry_Int_Tables_number 216
_symmetry_space_group_name_Hall 'F -4 2 3'
_cell_length_a 7.693
_cell_length_b 7.693
_cell_length_c 7.693
_cell_angle_alpha 90.00
_cell_angle_beta 90.00
_cell_angle_gamma 90.00
loop_
_atom_site_label
_atom_site_fract_x
_atom_site_fract_y
_atom_site_fract_z
Na1 0.000 0.000 0.000
Ac1 0.000 0.000 0.500
Tl1 0.250 0.250 0.250
Si1 0.250 0.250 0.750
```

DOS at the Fermi energy	0.6785	states/eV per atom
magnetic moment	0.00	μB per atom
volume	455.2	Å³/cell
calculated total energy	-3.428	eV per atom

=====

Below is a geometry-optimized BaMgZnGa structure, with properties calculated at the PBE level.

Structure (CIF):
```
data_BaMgZnGa
_chemical_formula_sum 'Ba4 Mg4 Zn4 Ga4'
_symmetry_space_group_name_H-M 'F -4 3 m'
_symmetry_Int_Tables_number 216
_symmetry_space_group_name_Hall 'F -4 2 3'
_cell_length_a 7.495
_cell_length_b 7.495
_cell_length_c 7.495
_cell_angle_alpha 90.00
_cell_angle_beta 90.00
_cell_angle_gamma 90.00
loop_
_atom_site_label
_atom_site_fract_x
_atom_site_fract_y
_atom_site_fract_z
Ba1 0.000 0.000 0.000
Mg1 0.000 0.000 0.500
Zn1 0.250 0.250 0.250
Ga1 0.250 0.250 0.750
```

DOS at the Fermi energy	0.4780	states/eV per atom
magnetic moment	0.00	μB per atom
volume	421.1	Å³/cell
distance to the lowest polymorph of the same formula	48	meV per atom
ΔH_f (0 K)	-0.6	eV per formula unit

=====

Copy entry 3 word for word.
Below is a geometry-optimized Dy4TmTl2 structure, with properties calculated at the PBE level.

Structure (CIF):
```
data_Dy4TmTl2
_chemical_formula_sum 'Dy16 Tm4 Tl8'
_symmetry_space_group_name_H-M 'F m m m'
_symmetry_Int_Tables_number 69
_symmetry_space_group_name_Hall '-F 2 2'
_cell_length_a 6.729
_cell_length_b 10.061
_cell_length_c 12.472
_cell_angle_alpha 90.00
_cell_angle_beta 90.00
_cell_angle_gamma 90.00
loop_
_atom_site_label
_atom_site_fract_x
_atom_site_fract_y
_atom_site_fract_z
Dy1 0.250 0.250 0.000
Dy2 0.250 0.250 0.250
Tm1 0.000 0.000 0.000
Tl1 0.000 0.000 0.369
```

DOS at the Fermi energy	1.2170	states/eV per atom
magnetic moment	0.00	μB per atom
volume	844.3	Å³/cell
distance to the lowest polymorph of the same formula	103	meV per atom
ΔH_f (0 K)	1.2	eV per formula unit